[1]
The following is a meta-GGA SCAN calculation of Cd2CuTc at its PBEsol-relaxed geometry, from the Alexandria database.

a = 2.756 Å, b = 3.955 Å, c = 5.836 Å
α = 90.00°, β = 90.00°, γ = 90.00°
Each line ends with the local moment (μB).
Atoms (fractional coordinates):
Cu  0.500  0.500  0.000  0.01
Cd  0.000  0.000  0.757  -0.01
Tc  0.500  0.500  0.500  0.58
Cd  0.000  0.000  0.243  -0.01

Computed properties:
Polymorph energy (0 for the lowest one): 0.09 eV/f.u.
Formation energy: 0.41 eV per atom

***

[2]
The following is a meta-GGA SCAN calculation of Cd2CuTc at its PBEsol-relaxed geometry, from the Alexandria database.

a = 2.744 Å, b = 5.003 Å, c = 4.966 Å
α = 103.88°, β = 90.00°, γ = 105.91°
Atoms (fractional coordinates):
Cu  0.000  0.000  0.500
Cd  0.262  0.525  0.256
Tc  0.500  0.000  0.000
Cd  0.738  0.475  0.744

Computed properties:
Polymorph energy (0 for the lowest one): 0.12 eV/f.u.
Formation energy: 0.41 eV per atom

***

[3]
The following is a meta-GGA SCAN calculation of CdCu2Te at its PBEsol-relaxed geometry, from the Alexandria database.

a = 3.479 Å, b = 3.479 Å, c = 5.743 Å
α = 90.00°, β = 90.00°, γ = 90.01°
Atoms (fractional coordinates):
Cd  0.500  0.500  0.000
Te  0.500  0.500  0.500
Cu  0.000  0.000  0.234
Cu  0.000  0.000  0.766

Computed properties:
Polymorph energy (0 for the lowest one): 0.10 eV/f.u.
Energy relative to the elements, uncorrected: 5.66 kcal/mol of atoms

***

[4]
The following is a meta-GGA SCAN calculation of Cd3CuTe at its PBEsol-relaxed geometry, from the Alexandria database.

a = 4.953 Å, b = 4.953 Å, c = 4.953 Å
α = 90.00°, β = 90.00°, γ = 90.00°
Atoms (fractional coordinates):
Cd  0.500  0.000  0.000
Cu  0.000  0.000  0.000
Cd  0.000  0.500  0.000
Cd  0.000  0.000  0.500
Te  0.500  0.500  0.500

Computed properties:
Energy relative to the elements, uncorrected: 5.14 kcal/mol of atoms